1.
An optimized crystal structure of Li2Tl3InF9. Source: the Alexandria database, functional GGA-PBE.

Values from the calculation:
As for the density: 6801 kg/m³. The calculation puts the calculated volume at 222.9 Å³ per cell. The crystal system is trigonal.

Unit cell a=5.895 b=5.895 c=7.406 alpha=90.00 beta=90.00 gamma=120.00
Element x y z (fractional)
1 F 0.834 0.668 0.669
2 F 0.668 0.834 0.331
3 F 0.166 0.332 0.331
4 F 0.500 0.500 0.000
5 F 0.500 0.000 0.000
6 F 0.834 0.166 0.669
7 F 0.000 0.500 0.000
8 F 0.332 0.166 0.669
9 F 0.166 0.834 0.331
10 Tl 0.333 0.667 0.749
11 Tl 0.667 0.333 0.251
12 Tl 0.000 0.000 0.000
13 Li 0.333 0.667 0.183
14 Li 0.667 0.333 0.817
15 In 0.000 0.000 0.500

2.
An optimized crystal structure of Li2TlInF6. Source: the Alexandria database, functional GGA-PBE.

Values from the calculation:
As for the density: 4571 kg/m³. The calculation puts the calculated volume at 162.4 Å³ per cell. The crystal system is trigonal.

Unit cell a=5.851 b=5.850 c=6.438 alpha=62.97 beta=62.94 gamma=59.99
Element x y z (fractional)
1 Li 0.572 0.572 0.284
2 Li 0.061 0.061 0.817
3 F 0.502 0.305 0.273
4 F 0.327 0.712 0.831
5 F 0.920 0.502 0.273
6 F 0.712 0.129 0.831
7 F 0.129 0.328 0.831
8 F 0.306 0.920 0.272
9 In 0.316 0.316 0.052
10 Tl 0.816 0.816 0.551

3.
An optimized crystal structure of LiTl2In3F12. Source: the Alexandria database, functional GGA-PBE.

Values from the calculation:
As for the density: 4877 kg/m³. The calculation puts the calculated volume at 336.5 Å³ per cell. The crystal system is trigonal.

Unit cell a=7.694 b=7.694 c=7.694 alpha=62.00 beta=62.00 gamma=62.00
Element x y z (fractional)
1 F 0.070 0.679 0.070
2 F 0.677 0.056 0.677
3 F 0.321 0.930 0.930
4 F 0.323 0.323 0.944
5 F 0.930 0.321 0.930
6 F 0.930 0.930 0.321
7 F 0.679 0.070 0.070
8 F 0.677 0.677 0.056
9 F 0.944 0.323 0.323
10 F 0.323 0.944 0.323
11 F 0.056 0.677 0.677
12 F 0.070 0.070 0.679
13 In 0.000 0.000 0.500
14 In 0.500 0.000 0.000
15 In 0.000 0.500 0.000
16 Tl 0.333 0.333 0.333
17 Tl 0.667 0.667 0.667
18 Li 0.000 0.000 0.000

Calculated energy relative to the elements, uncorrected in order - -2.248; -2.543; -2.402 eV/atom